(1)
Here is LaMn after structural relaxation from Alexandria via LeMat-Bulk. Energies are from GGA-PBE.

a = 3.372 Å, b = 3.372 Å, c = 10.341 Å
α = 90.00°, β = 90.00°, γ = 120.00°
Fractional positions:
La 0.333 0.667 0.331
La 0.667 0.333 0.669
Mn 0.333 0.667 0.907
Mn 0.667 0.333 0.093

Values from the calculation:
- E_form (meV per atom) = 573


(2)
Here is KBe2Os after structural relaxation from Alexandria via LeMat-Bulk. Energies are from GGA-PBE.

a = 7.613 Å, b = 3.385 Å, c = 6.278 Å
α = 90.00°, β = 108.79°, γ = 90.00°
Fractional positions:
K 0.000 0.000 0.000
K 0.500 0.500 0.000
Be 0.205 0.000 0.559
Be 0.295 0.500 0.441
Be 0.705 0.500 0.559
Be 0.795 0.000 0.441
Os 0.000 0.500 0.500
Os 0.500 0.000 0.500

Values from the calculation:
- E_form (meV per atom) = 477
- distance to the lowest polymorph of the same formula (eV per atom) = 0.162


(3)
Here is LaCdSeBr2 after structural relaxation from Alexandria via LeMat-Bulk. Energies are from GGA-PBE.

a = 5.362 Å, b = 5.362 Å, c = 5.378 Å
α = 90.00°, β = 90.00°, γ = 90.00°
Fractional positions:
La 0.000 0.000 0.000
Cd 0.500 0.500 0.500
Se 0.500 0.500 0.000
Br 0.000 0.500 0.500
Br 0.500 0.000 0.500

Values from the calculation:
- formation energy from raw total energies (eV per formula unit) = -3.690
- distance to the lowest polymorph of the same formula (eV per atom) = 0.326


(4)
Here is Dy2Ho5Tm6 after structural relaxation from Alexandria via LeMat-Bulk. Energies are from GGA-PBE.

a = 11.473 Å, b = 19.944 Å, c = 3.524 Å
α = 90.00°, β = 90.00°, γ = 90.00°
Fractional positions:
Dy 0.167 0.210 0.000
Dy 0.333 0.710 0.000
Dy 0.667 0.290 0.000
Dy 0.833 0.790 0.000
Ho 0.000 0.500 0.500
Ho 0.089 0.773 0.500
Ho 0.199 0.049 0.500
Ho 0.301 0.549 0.500
Ho 0.411 0.273 0.500
Ho 0.500 0.000 0.500
Ho 0.589 0.727 0.500
Ho 0.699 0.451 0.500
Ho 0.801 0.951 0.500
Ho 0.911 0.227 0.500
Tm 0.059 0.919 0.000
Tm 0.083 0.631 0.000
Tm 0.174 0.365 0.500
Tm 0.326 0.865 0.500
Tm 0.417 0.131 0.000
Tm 0.441 0.419 0.000
Tm 0.559 0.581 0.000
Tm 0.583 0.869 0.000
Tm 0.674 0.135 0.500
Tm 0.826 0.635 0.500
Tm 0.917 0.369 0.000
Tm 0.941 0.081 0.000

Values from the calculation:
- E_form (meV per atom) = 101


(5)
Here is Er4TlSnN after structural relaxation from Alexandria via LeMat-Bulk. Energies are from GGA-PBE.

a = 8.596 Å, b = 8.596 Å, c = 6.591 Å
α = 90.00°, β = 90.00°, γ = 134.91°
Fractional positions:
Er 0.000 0.500 0.000
Er 0.000 0.500 0.500
Er 0.088 0.912 0.750
Er 0.409 0.591 0.750
Er 0.500 0.000 0.000
Er 0.500 0.000 0.500
Er 0.591 0.409 0.250
Er 0.912 0.088 0.250
Tl 0.109 0.891 0.250
Tl 0.891 0.109 0.750
Sn 0.392 0.608 0.250
Sn 0.608 0.392 0.750
N 0.251 0.749 0.750
N 0.749 0.251 0.250

Values from the calculation:
- formation energy from raw total energies (eV per formula unit) = -6.069


(6)
Here is PrMg2Pb3 after structural relaxation from Alexandria via LeMat-Bulk. Energies are from GGA-PBE.

a = 8.005 Å, b = 8.005 Å, c = 6.233 Å
α = 90.00°, β = 90.00°, γ = 77.93°
Fractional positions:
Pr 0.200 0.800 0.750
Pr 0.800 0.200 0.250
Mg 0.374 0.374 0.000
Mg 0.374 0.374 0.500
Mg 0.626 0.626 0.000
Mg 0.626 0.626 0.500
Pb 0.108 0.229 0.750
Pb 0.229 0.108 0.250
Pb 0.296 0.704 0.250
Pb 0.704 0.296 0.750
Pb 0.771 0.892 0.750
Pb 0.892 0.771 0.250

Values from the calculation:
- E_form (meV per atom) = -44
- distance to the lowest polymorph of the same formula (eV per atom) = 0.231


(7)
Here is PaAlIr after structural relaxation from Alexandria via LeMat-Bulk. Energies are from GGA-PBE.

a = 4.437 Å, b = 4.437 Å, c = 3.438 Å
α = 90.00°, β = 90.00°, γ = 120.00°
Fractional positions:
Pa 0.000 0.000 0.000
Al 0.333 0.667 0.500
Ir 0.667 0.333 0.500

Values from the calculation:
- E_form (meV per atom) = -693


(8)
Here is Ac2NdZn after structural relaxation from Alexandria via LeMat-Bulk. Energies are from GGA-PBE.

a = 5.469 Å, b = 5.469 Å, c = 18.588 Å
α = 90.00°, β = 90.00°, γ = 90.00°
Fractional positions:
Ac 0.000 0.000 0.148
Ac 0.000 0.000 0.852
Ac 0.000 0.500 0.000
Ac 0.000 0.500 0.500
Ac 0.500 0.000 0.000
Ac 0.500 0.000 0.500
Ac 0.500 0.500 0.352
Ac 0.500 0.500 0.648
Nd 0.000 0.000 0.346
Nd 0.000 0.000 0.654
Nd 0.500 0.500 0.154
Nd 0.500 0.500 0.846
Zn 0.000 0.500 0.250
Zn 0.000 0.500 0.750
Zn 0.500 0.000 0.250
Zn 0.500 0.000 0.750

Values from the calculation:
- E_form (meV per atom) = -114
- distance to the lowest polymorph of the same formula (eV per atom) = 0.000


(9)
Here is MgGa2Tc after structural relaxation from Alexandria via LeMat-Bulk. Energies are from GGA-PBE.

a = 7.201 Å, b = 7.201 Å, c = 5.509 Å
α = 90.00°, β = 90.00°, γ = 90.00°
Fractional positions:
Mg 0.000 0.000 0.000
Mg 0.000 0.500 0.250
Mg 0.500 0.000 0.750
Mg 0.500 0.500 0.500
Ga 0.224 0.250 0.625
Ga 0.250 0.724 0.875
Ga 0.250 0.776 0.375
Ga 0.276 0.250 0.125
Ga 0.724 0.750 0.125
Ga 0.750 0.224 0.375
Ga 0.750 0.276 0.875
Ga 0.776 0.750 0.625
Tc 0.000 0.000 0.500
Tc 0.000 0.500 0.750
Tc 0.500 0.000 0.250
Tc 0.500 0.500 0.000

Values from the calculation:
- E_form (meV per atom) = 289


(10)
Here is Dy8Ga2Pd after structural relaxation from Alexandria via LeMat-Bulk. Energies are from GGA-PBE.

a = 9.522 Å, b = 9.522 Å, c = 6.613 Å
α = 100.85°, β = 100.85°, γ = 30.11°
Fractional positions:
Dy 0.024 0.024 0.274
Dy 0.209 0.209 0.820
Dy 0.346 0.346 0.519
Dy 0.408 0.408 0.037
Dy 0.592 0.592 0.963
Dy 0.654 0.654 0.481
Dy 0.791 0.791 0.180
Dy 0.976 0.976 0.726
Ga 0.189 0.189 0.260
Ga 0.811 0.811 0.740
Pd 0.500 0.500 0.500

Values from the calculation:
- E_form (meV per atom) = -358


(11)
Here is Pm4Au2F after structural relaxation from Alexandria via LeMat-Bulk. Energies are from GGA-PBE.

a = 4.885 Å, b = 4.885 Å, c = 15.253 Å
α = 90.00°, β = 90.00°, γ = 90.00°
Fractional positions:
Pm 0.000 0.000 0.191
Pm 0.000 0.000 0.809
Pm 0.000 0.500 0.000
Pm 0.000 0.500 0.500
Pm 0.500 0.000 0.000
Pm 0.500 0.000 0.500
Pm 0.500 0.500 0.309
Pm 0.500 0.500 0.691
Au 0.000 0.000 0.375
Au 0.000 0.000 0.625
Au 0.500 0.500 0.125
Au 0.500 0.500 0.875
F 0.000 0.000 0.000
F 0.500 0.500 0.500

Values from the calculation:
- formation energy from raw total energies (eV per formula unit) = -7.723


(12)
Here is Pm3NpTe6 after structural relaxation from Alexandria via LeMat-Bulk. Energies are from GGA-PBE.

a = 12.691 Å, b = 4.429 Å, c = 13.003 Å
α = 90.00°, β = 109.23°, γ = 90.00°
Fractional positions:
Pm 0.073 0.250 0.167
Pm 0.181 0.750 0.503
Pm 0.346 0.250 0.923
Pm 0.654 0.750 0.077
Pm 0.819 0.250 0.497
Pm 0.927 0.750 0.833
Np 0.456 0.250 0.308
Np 0.544 0.750 0.692
Te 0.014 0.250 0.380
Te 0.105 0.250 0.935
Te 0.254 0.750 0.282
Te 0.311 0.750 0.750
Te 0.389 0.250 0.536
Te 0.416 0.750 0.106
Te 0.584 0.250 0.894
Te 0.611 0.750 0.464
Te 0.689 0.250 0.250
Te 0.746 0.250 0.718
Te 0.895 0.750 0.065
Te 0.986 0.750 0.620

Values from the calculation:
- formation energy from raw total energies (eV per formula unit) = -12.119


(13)
Here is MgSc6Al5 after structural relaxation from Alexandria via LeMat-Bulk. Energies are from GGA-PBE.

a = 7.662 Å, b = 7.662 Å, c = 6.748 Å
α = 90.00°, β = 90.00°, γ = 143.22°
Fractional positions:
Mg 0.000 0.000 0.000
Sc 0.170 0.830 0.251
Sc 0.170 0.830 0.749
Sc 0.500 0.500 0.256
Sc 0.500 0.500 0.744
Sc 0.830 0.170 0.251
Sc 0.830 0.170 0.749
Al 0.000 0.000 0.500
Al 0.334 0.666 0.500
Al 0.339 0.661 0.000
Al 0.661 0.339 0.000
Al 0.666 0.334 0.500

Values from the calculation:
- E_form (meV per atom) = -404


(14)
Here is Ba2TeCl after structural relaxation from Alexandria via LeMat-Bulk. Energies are from GGA-PBE.

a = 4.697 Å, b = 4.697 Å, c = 25.359 Å
α = 90.00°, β = 90.00°, γ = 120.00°
Fractional positions:
Ba 0.000 0.000 0.000
Ba 0.000 0.000 0.172
Ba 0.333 0.667 0.667
Ba 0.333 0.667 0.839
Ba 0.667 0.333 0.333
Ba 0.667 0.333 0.506
Te 0.000 0.000 0.585
Te 0.333 0.667 0.251
Te 0.667 0.333 0.918
Cl 0.000 0.000 0.757
Cl 0.333 0.667 0.424
Cl 0.667 0.333 0.091

Values from the calculation:
- formation energy from raw total energies (eV per formula unit) = -6.891
- distance to the lowest polymorph of the same formula (eV per atom) = 0.064


(15)
Here is Mg5TlCd6 after structural relaxation from Alexandria via LeMat-Bulk. Energies are from GGA-PBE.

a = 8.401 Å, b = 8.401 Å, c = 4.501 Å
α = 105.23°, β = 105.23°, γ = 108.18°
Fractional positions:
Mg 0.000 0.000 0.000
Mg 0.171 0.829 0.500
Mg 0.340 0.660 0.000
Mg 0.660 0.340 0.000
Mg 0.829 0.171 0.500
Tl 0.500 0.500 0.500
Cd 0.069 0.412 0.240
Cd 0.232 0.232 0.732
Cd 0.412 0.069 0.240
Cd 0.588 0.931 0.760
Cd 0.768 0.768 0.268
Cd 0.931 0.588 0.760

Values from the calculation:
- E_form (meV per atom) = -66


(16)
Here is CsMgFe2Br8 after structural relaxation from Alexandria via LeMat-Bulk. Energies are from GGA-PBE.

a = 6.768 Å, b = 6.768 Å, c = 10.417 Å
α = 96.95°, β = 96.95°, γ = 68.17°
Fractional positions:
Cs 0.000 0.000 0.000
Mg 0.000 0.000 0.500
Fe 0.387 0.387 0.699
Fe 0.613 0.613 0.301
Br 0.227 0.733 0.308
Br 0.240 0.240 0.508
Br 0.267 0.773 0.692
Br 0.320 0.320 0.903
Br 0.680 0.680 0.097
Br 0.733 0.227 0.308
Br 0.760 0.760 0.492
Br 0.773 0.267 0.692

Values from the calculation:
- formation energy from raw total energies (eV per formula unit) = -11.224


(17)
Here is MnCr2PtC after structural relaxation from Alexandria via LeMat-Bulk. Energies are from GGA-PBE.

a = 3.900 Å, b = 3.900 Å, c = 3.886 Å
α = 90.00°, β = 90.00°, γ = 90.00°
Fractional positions:
Mn 0.000 0.000 0.000
Cr 0.000 0.500 0.500
Cr 0.500 0.000 0.500
Pt 0.500 0.500 0.000
C 0.000 0.000 0.500

Values from the calculation:
- E_form (meV per atom) = -118


(18)
Here is Cs3Y3TiTe8 after structural relaxation from Alexandria via LeMat-Bulk. Energies are from GGA-PBE.

a = 8.778 Å, b = 8.778 Å, c = 10.466 Å
α = 114.81°, β = 114.81°, γ = 60.03°
Fractional positions:
Cs 0.000 0.000 0.000
Cs 0.000 0.500 0.000
Cs 0.500 0.000 0.000
Y 0.000 0.500 0.500
Y 0.500 0.000 0.500
Y 0.500 0.500 0.500
Ti 0.000 0.000 0.500
Te 0.215 0.215 0.680
Te 0.215 0.750 0.680
Te 0.250 0.785 0.320
Te 0.269 0.269 0.308
Te 0.731 0.731 0.692
Te 0.750 0.215 0.680
Te 0.785 0.250 0.320
Te 0.785 0.785 0.320

Values from the calculation:
- formation energy from raw total energies (eV per formula unit) = -18.325


(19)
Here is AcCdIn2 after structural relaxation from Alexandria via LeMat-Bulk. Energies are from GGA-PBE.

a = 4.880 Å, b = 4.880 Å, c = 17.418 Å
α = 90.00°, β = 90.00°, γ = 120.00°
Fractional positions:
Ac 0.000 0.000 0.000
Ac 0.333 0.667 0.667
Ac 0.667 0.333 0.333
Cd 0.000 0.000 0.500
Cd 0.333 0.667 0.167
Cd 0.667 0.333 0.833
In 0.000 0.000 0.222
In 0.000 0.000 0.778
In 0.333 0.667 0.445
In 0.333 0.667 0.888
In 0.667 0.333 0.112
In 0.667 0.333 0.555

Values from the calculation:
- E_form (meV per atom) = -319
- distance to the lowest polymorph of the same formula (eV per atom) = 0.055


(20)
Here is AcNd14Mg after structural relaxation from Alexandria via LeMat-Bulk. Energies are from GGA-PBE.

a = 7.324 Å, b = 7.324 Å, c = 10.425 Å
α = 90.00°, β = 90.00°, γ = 90.00°
Fractional positions:
Ac 0.000 0.000 0.000
Nd 0.000 0.000 0.500
Nd 0.000 0.500 0.000
Nd 0.000 0.500 0.500
Nd 0.253 0.253 0.250
Nd 0.253 0.253 0.750
Nd 0.253 0.747 0.250
Nd 0.253 0.747 0.750
Nd 0.500 0.000 0.000
Nd 0.500 0.000 0.500
Nd 0.500 0.500 0.500
Nd 0.747 0.253 0.250
Nd 0.747 0.253 0.750
Nd 0.747 0.747 0.250
Nd 0.747 0.747 0.750
Mg 0.500 0.500 0.000

Values from the calculation:
- E_form (meV per atom) = 9


(21)
Here is La6Si2IrBr3 after structural relaxation from Alexandria via LeMat-Bulk. Energies are from GGA-PBE.

a = 9.894 Å, b = 9.894 Å, c = 9.131 Å
α = 105.01°, β = 105.01°, γ = 25.13°
Fractional positions:
La 0.005 0.005 0.223
La 0.325 0.325 0.432
La 0.349 0.349 0.897
La 0.651 0.651 0.103
La 0.675 0.675 0.568
La 0.995 0.995 0.777
Si 0.164 0.164 0.338
Si 0.836 0.836 0.662
Ir 0.500 0.500 0.000
Br 0.174 0.174 0.838
Br 0.500 0.500 0.500
Br 0.826 0.826 0.162

Values from the calculation:
- formation energy from raw total energies (eV per formula unit) = -13.746


(22)
Here is Tm4Al12Ni after structural relaxation from Alexandria via LeMat-Bulk. Energies are from GGA-PBE.

a = 7.395 Å, b = 7.395 Å, c = 7.395 Å
α = 109.47°, β = 109.47°, γ = 109.47°
Fractional positions:
Tm 0.000 0.000 0.500
Tm 0.000 0.500 0.000
Tm 0.500 0.000 0.000
Tm 0.500 0.500 0.500
Al 0.000 0.283 0.283
Al 0.000 0.717 0.717
Al 0.250 0.500 0.750
Al 0.250 0.750 0.500
Al 0.283 0.000 0.283
Al 0.283 0.283 0.000
Al 0.500 0.250 0.750
Al 0.500 0.750 0.250
Al 0.717 0.000 0.717
Al 0.717 0.717 0.000
Al 0.750 0.250 0.500
Al 0.750 0.500 0.250
Ni 0.000 0.000 0.000

Values from the calculation:
- E_form (meV per atom) = -473